SrTl2Ru PBE optimized geometry; space-group type = Immm; total magnetization = 0.00 Bohr magnetons per cell; calculated total energy = -3.750 eV/atom; calculated formation energy = 67 kJ/mol of formula units; crystal system = orthorhombic
1.0
6.2498 -0.0012 0.0000
2.8191 5.5778 0.0000
-3.8119 -3.9633 2.9700
Tl Sr Ru
2 1 1
Direct
0.9556 0.9556 0.0000
0.5444 0.5444 0.0000
0.2500 0.7500 0.5000
0.7500 0.2500 0.5000

---

Ba12Cu5Au3 PBE optimized geometry; space-group type = Ia-3d; total magnetization = 0.00 Bohr magnetons per cell; calculated total energy = -2.708 eV/atom; calculated formation energy = -75 kJ/mol of formula units; crystal system = cubic
1.0
16.6712 0.0000 0.0000
-5.5571 15.7177 0.0000
-5.5571 -7.8589 13.6120
Ba Cu Au
48 20 12
Direct
0.6263 0.5841 0.9078
0.6263 0.0422 0.2185
0.6763 0.2185 0.5922
0.4578 0.7815 0.8737
0.2815 0.8737 0.9578
0.9078 0.8237 0.7815
0.9159 0.8237 0.5422
0.2815 0.4078 0.8237
0.0422 0.4159 0.8237
0.7185 0.1263 0.0422
0.0422 0.6263 0.7185
0.3737 0.9578 0.7815
0.4159 0.3737 0.5922
0.0841 0.9078 0.1263
0.9578 0.5841 0.1763
0.7815 0.3237 0.9078
0.3237 0.7815 0.4078
0.0922 0.1763 0.2185
0.3237 0.5422 0.4159
0.4578 0.6763 0.0841
0.6763 0.4578 0.5841
0.1763 0.0841 0.9578
0.8237 0.9078 0.2815
0.8737 0.2815 0.4578
0.7815 0.4578 0.3737
0.7185 0.5922 0.1763
0.9578 0.3737 0.2815
0.5841 0.9578 0.6763
0.4159 0.0422 0.3237
0.2185 0.6763 0.0922
0.5841 0.6263 0.4078
0.9159 0.0922 0.8737
0.8737 0.5922 0.9159
0.9078 0.0841 0.6263
0.2185 0.5422 0.6263
0.1763 0.0922 0.7185
0.1263 0.7185 0.5422
0.5922 0.7185 0.6763
0.4078 0.2815 0.3237
0.3737 0.4159 0.0922
0.5422 0.2185 0.1263
0.4078 0.1263 0.5841
0.5422 0.3237 0.9159
0.8237 0.9159 0.0422
0.0922 0.9159 0.3737
0.0841 0.1763 0.4578
0.5922 0.8737 0.4159
0.1263 0.4078 0.0841
0.7500 0.1250 0.8750
0.1250 0.7500 0.3750
0.8750 0.2500 0.6250
0.5000 0.5000 0.0000
0.3750 0.1250 0.7500
0.0000 0.0000 0.0000
0.8750 0.6250 0.7500
0.0000 0.5000 0.0000
0.5000 0.5000 0.5000
0.6250 0.7500 0.8750
0.5000 0.0000 0.5000
0.0000 0.5000 0.5000
0.0000 0.0000 0.5000
0.5000 0.0000 0.0000
0.3750 0.2500 0.1250
0.7500 0.6250 0.3750
0.2500 0.8750 0.1250
0.2500 0.3750 0.6250
0.6250 0.8750 0.2500
0.1250 0.3750 0.2500
0.8750 0.7500 0.1250
0.2500 0.6250 0.8750
0.3750 0.6250 0.2500
0.7500 0.3750 0.1250
0.6250 0.3750 0.7500
0.1250 0.2500 0.8750
0.3750 0.7500 0.6250
0.1250 0.8750 0.7500
0.6250 0.2500 0.3750
0.2500 0.1250 0.3750
0.8750 0.1250 0.2500
0.7500 0.8750 0.6250

---

Dy3CoHg PBE optimized geometry; space-group type = Pm-3m; polymorph energy (0 for the lowest one) = 138.0 meV/atom; total magnetization = 0.00 Bohr magnetons per cell; calculated total energy = -4.386 eV/atom; calculated formation energy = -69 kJ/mol of formula units; crystal system = cubic
1.0
-4.7992 1.7444 -0.5588
-1.7192 -4.8304 -0.3138
-0.6321 -0.1062 5.0967
Dy Co Hg
3 1 1
Direct
0.0000 0.5000 0.0000
0.0000 0.0000 0.5000
0.5000 0.0000 0.0000
0.0000 0.0000 0.0000
0.5000 0.5000 0.5000

---

Ba6N2Cl3O PBE optimized geometry; space-group type = C2/m; total magnetization = 0.00 Bohr magnetons per cell; calculated total energy = -4.814 eV/atom; E_form (uncorrected) = -36.7 kcal/mol of atoms; crystal system = monoclinic
1.0
-4.0586 -5.8105 0.8038
6.8587 -0.6655 -1.8428
1.0028 1.8221 7.6791
Ba O N Cl
6 1 2 3
Direct
0.9342 0.5990 0.8027
0.7304 0.7304 0.1979
0.0658 0.4010 0.1973
0.5990 0.9342 0.8027
0.4010 0.0658 0.1973
0.2696 0.2696 0.8021
0.0000 0.0000 0.0000
0.6663 0.3337 0.0000
0.3337 0.6663 0.0000
0.1686 0.8314 0.5000
0.5000 0.5000 0.5000
0.8314 0.1686 0.5000